Computed, not measured: a relaxed structure of TaCdFeSb at the PBE level of DFT.

abc: 4.6988 4.6988 4.6988
angles: 60.00 60.00 60.00
With the nearest neighbours (Å) after each atom.
Fractional positions:
Ta: 0.5000 0.5000 0.5000  4 Cd 2.88, 4 Fe 2.88
Cd: 0.2500 0.2500 0.2500  4 Ta 2.88, 4 Sb 2.88
Fe: 0.7500 0.7500 0.7500  4 Ta 2.88, 4 Sb 2.88
Sb: 0.0000 0.0000 0.0000  4 Fe 2.88, 4 Cd 2.88

The total energy comes out at -5.65 eV/atom. For the calculated volume, the calculation gives 18.339 Å³ per atom.